Below is Cs3Pu2PaO9 after structural relaxation, with properties calculated at the PBE-GGA level.

Computed properties:
E = -0.3062 Ha/atom
Raw formation energy = -2641.4 meV per atom
Symmetry = P-3m1, No. 164

The structure in extended XYZ format:
```
15
Lattice="-3.417 -5.098 -1.062 4.670 -0.184 4.117 -4.810 2.069 5.549" Properties=species:S:1:pos:R:3 pbc="T T T"
Cs -1.231 -0.443 6.089
Cs 0.000 0.000 0.000
Cs -2.326 -2.770 2.516
Pu 1.188 -1.484 3.298
Pu -4.745 -1.729 5.307
Pa -2.405 1.034 2.775
O -5.280 -2.890 3.519
O -2.958 -2.981 5.565
O -3.581 -0.356 4.047
O 0.024 -2.857 4.558
O -0.599 -0.231 3.039
O 1.722 -0.323 5.085
O -1.709 -2.549 -0.531
O 2.335 -0.092 2.058
O 0.627 -2.641 1.527
```